Li3Mn3TeO8 | GGA+U | relaxed

Its crystal system is trigonal. Its spin magnetization is 14.000 μB per formula unit. As for the energy above the lowest structure with this stoichiometry: 0.012 eV/atom. Its space group is No. 166.

```
Li3Mn3TeO8
1.0
3.153 1.820 4.933
-3.153 1.820 4.933
0.000 -3.641 4.933
Li Mn Te O
3 3 1 8
direct
0.000 0.500 0.500
0.500 0.000 0.500
0.500 0.500 0.000
0.000 0.000 0.500
0.000 0.500 0.000
0.500 0.000 0.000
0.500 0.500 0.500
0.233 0.233 0.233
0.277 0.277 0.717
0.277 0.717 0.277
0.283 0.723 0.723
0.717 0.277 0.277
0.723 0.283 0.723
0.723 0.723 0.283
0.767 0.767 0.767
```